#a
# PaBiTe2

An optimized crystal structure of PaBiTe2 (PBE, Alexandria).

abc: 16.432 16.432 4.615
angles: 90.00 90.00 166.48
Fractional coordinates of all 8 atoms:
Pa: 0.187 0.813 0.750
Pa: 0.813 0.187 0.250
Bi: 0.469 0.531 0.750
Bi: 0.531 0.469 0.250
Te: 0.287 0.713 0.750
Te: 0.383 0.617 0.250
Te: 0.617 0.383 0.750
Te: 0.713 0.287 0.250

* space-group type: Cmcm

#b
# PaBiTe2

An optimized crystal structure of PaBiTe2 (PBE, Alexandria).

abc: 9.875 9.875 9.875
angles: 22.55 22.55 22.55
Fractional coordinates of all 4 atoms:
Pa: 0.000 0.000 0.000
Bi: 0.835 0.835 0.835
Te: 0.407 0.407 0.407
Te: 0.594 0.594 0.594

* space-group type: R3m

#c
# PaBiTe2

An optimized crystal structure of PaBiTe2 (PBE, Alexandria).

abc: 5.343 5.343 5.343
angles: 63.23 63.23 63.23
Fractional coordinates of all 4 atoms:
Pa: 0.000 0.000 0.000
Bi: 0.500 0.500 0.500
Te: 0.261 0.261 0.261
Te: 0.739 0.739 0.739

* space-group type: R-3m

Sorted by energy, starting with the most stable: #a, #b, #c.

#a
# ThPaBi2

An optimized crystal structure of ThPaBi2 (PBE, Alexandria).

abc: 3.877 3.877 7.781
angles: 90.00 90.00 90.00
Fractional coordinates of all 4 atoms:
Th: 0.000 0.000 0.000
Pa: 0.000 0.000 0.500
Bi: 0.500 0.500 0.260
Bi: 0.500 0.500 0.740

* space-group type: P4/mmm

#b
# ThPaBi2

An optimized crystal structure of ThPaBi2 (PBE, Alexandria).

abc: 5.485 5.485 5.485
angles: 60.00 60.00 60.00
Fractional coordinates of all 4 atoms:
Th: 0.000 0.000 0.000
Pa: 0.500 0.500 0.500
Bi: 0.250 0.250 0.250
Bi: 0.750 0.750 0.750

* space-group type: Fm-3m

Sorted by energy, starting with the most stable: #a, #b.

#a
# Pa2TiBi

An optimized crystal structure of Pa2TiBi (PBE, Alexandria).

abc: 5.297 5.297 5.297
angles: 58.44 58.44 58.44
Fractional coordinates of all 4 atoms:
Pa: 0.247 0.247 0.247
Pa: 0.753 0.753 0.753
Ti: 0.500 0.500 0.500
Bi: 0.000 0.000 0.000

* space-group type: R-3m

#b
# Pa2TiBi

An optimized crystal structure of Pa2TiBi (PBE, Alexandria).

abc: 4.029 4.029 6.252
angles: 90.00 90.00 90.00
Fractional coordinates of all 4 atoms:
Pa: 0.000 0.000 0.223
Pa: 0.000 0.000 0.777
Ti: 0.500 0.500 0.000
Bi: 0.500 0.500 0.500

* space-group type: P4/mmm

Sorted by energy, starting with the most stable: #b, #a.